A plane-wave DFT calculation with SCAN was carried out for a crystal of Mg4Tl3 relaxed with PBEsol.

Cell and atoms, written as POSCAR:
```
Mg4Tl3
1.0
-1.955 1.955 10.965
1.955 -1.955 10.965
1.955 1.955 -10.965
Mg Tl
4 3
Cartesian
0.000 0.000 1.537 Mg
0.000 0.000 7.799 Mg
0.000 0.000 14.132 Mg
0.000 0.000 20.394 Mg
0.000 0.000 4.600 Tl
0.000 0.000 10.965 Tl
0.000 0.000 17.330 Tl
```

Output
Energy above the lowest structure with this stoichiometry ... 0.00 eV/f.u.
N(E_F) ... 0.402 states/eV/atom
Electronic total energy ... -237.6 eV/f.u.

---

A plane-wave DFT calculation with SCAN was carried out for a crystal of MgTl2 relaxed with PBEsol.

Cell and atoms, written as POSCAR:
```
MgTl2
1.0
1.967 -7.582 0.000
1.967 7.582 0.000
0.000 0.000 5.161
Mg Tl
2 4
Cartesian
1.967 6.334 3.871 Mg
1.967 -6.334 1.290 Mg
1.967 3.743 1.290 Tl
1.967 1.186 3.871 Tl
1.967 -1.186 1.290 Tl
1.967 -3.743 3.871 Tl
```

Output
Energy above the lowest structure with this stoichiometry ... 0.16 eV/f.u.
N(E_F) ... 0.375 states/eV/atom
Electronic total energy ... -149.8 eV/f.u.

---

A plane-wave DFT calculation with SCAN was carried out for a crystal of MgTl2 relaxed with PBEsol.

Cell and atoms, written as POSCAR:
```
MgTl2
1.0
0.000 6.750 6.750
6.750 0.000 6.750
6.750 6.750 0.000
Mg Tl
8 16
Cartesian
10.624 6.251 6.251 Mg
2.876 2.876 2.876 Mg
7.249 7.249 2.876 Mg
7.249 2.876 7.249 Mg
6.251 10.624 6.251 Mg
6.251 6.251 10.624 Mg
10.624 10.624 10.624 Mg
2.876 7.249 7.249 Mg
0.000 0.000 0.000 Tl
3.375 3.375 0.000 Tl
3.375 0.000 3.375 Tl
5.062 5.062 2.550 Tl
5.062 2.550 5.062 Tl
7.575 5.062 5.062 Tl
8.437 8.437 5.925 Tl
8.437 5.925 8.437 Tl
10.950 8.437 8.437 Tl
0.000 3.375 3.375 Tl
2.550 5.062 5.062 Tl
5.062 7.575 5.062 Tl
5.062 5.062 7.575 Tl
5.925 8.437 8.437 Tl
8.437 10.950 8.437 Tl
8.437 8.437 10.950 Tl
```

Output
Energy above the lowest structure with this stoichiometry ... 0.00 eV/f.u.
N(E_F) ... 0.331 states/eV/atom
Electronic total energy ... -149.9 eV/f.u.